## P
PmScBe2: optimized geometry, PBE.

Unit cell a=6.7022 b=6.7022 c=6.7022 alpha=90.00 beta=90.00 gamma=90.00
Closest atoms and distances in Å follow each position.
Fractional positions:
Pm1 0.0000 0.0000 0.0000  8 Be 2.90
Pm2 0.0000 0.5000 0.5000  8 Be 2.90
Pm3 0.5000 0.0000 0.5000  8 Be 2.90
Pm4 0.5000 0.5000 0.0000  8 Be 2.90
Sc1 0.0000 0.0000 0.5000  8 Be 2.90
Sc2 0.0000 0.5000 0.0000  8 Be 2.90
Sc3 0.5000 0.0000 0.0000  8 Be 2.90
Sc4 0.5000 0.5000 0.5000  8 Be 2.90
Be1 0.2500 0.2500 0.2500  4 Pm 2.90, 4 Sc 2.90
Be2 0.2500 0.2500 0.7500  4 Pm 2.90, 4 Sc 2.90
Be3 0.2500 0.7500 0.2500  4 Pm 2.90, 4 Sc 2.90
Be4 0.2500 0.7500 0.7500  4 Sc 2.90, 4 Pm 2.90
Be5 0.7500 0.2500 0.2500  4 Pm 2.90, 4 Sc 2.90
Be6 0.7500 0.2500 0.7500  4 Sc 2.90, 4 Pm 2.90
Be7 0.7500 0.7500 0.2500  4 Sc 2.90, 4 Pm 2.90
Be8 0.7500 0.7500 0.7500  4 Pm 2.90, 4 Sc 2.90

Computed properties:
Mass density (g/cm3): 4.59

## Q
PmScBe2: optimized geometry, PBE.

Unit cell a=3.3416 b=3.3416 c=6.6679 alpha=90.00 beta=90.00 gamma=90.00
Closest atoms and distances in Å follow each position.
Fractional positions:
Pm1 0.0000 0.0000 0.0000  8 Be 3.11, 2 Sc 3.33, 4 Pm 3.34
Sc1 0.0000 0.0000 0.5000  8 Be 2.70
Be1 0.5000 0.5000 0.3035  1 Be 2.62, 4 Sc 2.70
Be2 0.5000 0.5000 0.6965  1 Be 2.62, 4 Sc 2.70

Computed properties:
Mass density (g/cm3): 4.64

Most stable structure, least stable structure: Q, P.

## P
Pm3BeSi3: optimized geometry, PBE.

Unit cell a=8.4771 b=8.4771 c=5.9479 alpha=90.00 beta=90.00 gamma=120.00
Closest atoms and distances in Å follow each position.
Fractional positions:
Pm1 0.0677 0.3648 0.2500  5 Si 2.89-2.98
Pm2 0.2971 0.9323 0.2500  5 Si 2.89-2.98
Pm3 0.3648 0.2971 0.7500  5 Si 2.89-2.98
Pm4 0.6352 0.7029 0.2500  5 Si 2.89-2.98
Pm5 0.7029 0.0677 0.7500  5 Si 2.89-2.98
Pm6 0.9323 0.6352 0.7500  5 Si 2.89-2.98
Be1 0.3333 0.6667 0.7500  3 Si 2.28
Be2 0.6667 0.3333 0.2500  3 Si 2.28
Si1 0.0768 0.3864 0.7500  1 Be 2.28
Si2 0.3096 0.9232 0.7500  1 Be 2.28
Si3 0.3864 0.3096 0.2500  1 Be 2.28
Si4 0.6136 0.6904 0.7500  1 Be 2.28
Si5 0.6904 0.0768 0.2500  1 Be 2.28
Si6 0.9232 0.6136 0.2500  1 Be 2.28

Computed properties:
Mass density (g/cm3): 4.74

## Q
Pm3BeSi3: optimized geometry, PBE.

Unit cell a=3.9215 b=4.3124 c=17.8198 alpha=90.00 beta=90.00 gamma=90.00
Closest atoms and distances in Å follow each position.
Fractional positions:
Pm1 0.0000 0.0000 0.0000  2 Be 2.99, 5 Si 3.05-3.16
Pm2 0.0000 0.0000 0.3674  7 Si 3.02-3.28
Pm3 0.0000 0.5000 0.6832  8 Si 3.09-3.29, 4 Be 3.15
Pm4 0.5000 0.0000 0.1832  8 Si 3.09-3.29, 4 Be 3.15
Pm5 0.5000 0.5000 0.5000  2 Be 2.99, 5 Si 3.05-3.16
Pm6 0.5000 0.5000 0.8674  7 Si 3.02-3.28
Be1 0.0000 0.5000 0.1162  3 Si 2.23-2.28
Be2 0.5000 0.0000 0.6162  3 Si 2.23-2.28
Si1 0.0000 0.0000 0.5513  2 Be 2.28
Si2 0.0000 0.0000 0.8226  2 Si 2.44
Si3 0.0000 0.5000 0.2411  1 Be 2.23, 2 Si 2.44
Si4 0.5000 0.0000 0.7411  1 Be 2.23, 2 Si 2.44
Si5 0.5000 0.5000 0.0513  2 Be 2.28
Si6 0.5000 0.5000 0.3226  2 Si 2.44

Computed properties:
Mass density (g/cm3): 5.82

Most stable structure, least stable structure: Q, P.